Entry 1:
Computed, not measured: a relaxed structure of PmInP2 at the GGA-PBE level of DFT.

The space group is R-3m (No. 166, hexagonal axes) and the conventional cell measures 4.4968, 4.4968 and 22.2958 Å, with angles of 90.00, 90.00 and 120.00 degrees. The asymmetric unit holds Pm at (0.0000, 0.0000, 0.0000), In at (0.0000, 0.0000, 0.5000) and P at (0.0000, 0.0000, 0.3941).

As for the crystal system: trigonal. As for the total energy: -4.970 eV/atom. The calculation puts the density at 4.11 Mg/m³. The value obtained for the energy of formation is -0.39 eV per atom. The volume comes out at 130.1 Å³/f.u. The relative energy among the computed polymorphs comes out at 129.7 meV/atom.

---

Entry 2:
Computed, not measured: a relaxed structure of Sr3Pr2PaP6 at the GGA-PBE level of DFT.

The space group is C2/m (No. 12) and the conventional cell measures 7.3566, 12.7528 and 7.4009 Å, with angles of 90.00, 109.45 and 90.00 degrees. The asymmetric unit holds Sr at (0.0000, 0.0000, 0.0000), Sr at (0.0000, 0.3299, 0.0000), Pr at (0.0000, 0.1664, 0.5000), Pa at (0.0000, 0.5000, 0.5000), P at (0.2322, 0.3420, 0.7229) and P at (0.2406, 0.5000, 0.2768).

As for the crystal system: monoclinic. As for the total energy: -5.953 eV/atom. The calculation puts the density at 4.88 Mg/m³. The value obtained for the energy of formation is -1.24 eV per atom. The volume comes out at 327.3 Å³/f.u.